Entry 1:
Here is crystalline CuPd8Au3 at its relaxed geometry from Alexandria. Energies are from GGA-PBE.

The symmetry is No. 1. For the energy of formation, the calculation gives -0.044 eV/atom. The value obtained for the magnetic moment is 0.0 μB/f.u. The calculation puts the offset from the most stable computed form at 0.0000 eV/atom.

POSCAR file:
```
CuPd8Au3
1.0
4.872 0.292 -0.197
-0.407 6.896 0.114
1.750 2.363 5.609
Pd Cu Au
8 1 3
Direct
0.786 0.038 0.878
0.293 0.543 0.373
0.541 0.288 0.126
0.463 0.710 0.867
0.369 0.117 0.628
0.619 0.870 0.381
0.713 0.461 0.624
0.208 0.953 0.129
0.043 0.790 0.621
0.956 0.197 0.384
0.876 0.628 0.118
0.130 0.376 0.868
```

Entry 2:
Here is crystalline Cs4La3PtO8 at its relaxed geometry from Alexandria. Energies are from GGA-PBE.

The uncorrected formation energy comes out at -2052 meV/atom. The symmetry is No. 12. The value obtained for the magnetic moment is 1.1 μB/f.u.

POSCAR file:
```
Cs4La3PtO8
1.0
7.146 0.000 0.000
0.000 7.826 0.582
-3.573 -3.494 5.814
O Cs La Pt
8 4 3 1
Direct
0.297 0.332 0.594
0.755 0.643 0.932
0.177 0.643 0.932
0.287 0.715 0.574
0.703 0.668 0.406
0.245 0.357 0.068
0.713 0.285 0.426
0.823 0.357 0.068
0.000 0.000 0.000
0.500 0.000 0.000
0.500 0.000 0.500
0.000 0.000 0.500
0.500 0.500 0.500
0.000 0.500 0.500
0.500 0.500 0.000
0.000 0.500 0.000
```

Entry 3:
Here is crystalline CoP2Pt at its relaxed geometry from Alexandria. Energies are from GGA-PBE.

The symmetry is No. 123. For the energy of formation, the calculation gives 0.072 eV/atom. The value obtained for the magnetic moment is 0.0 μB/f.u. The calculation puts the offset from the most stable computed form at 0.4707 eV/atom.

POSCAR file:
```
CoP2Pt
1.0
-1.319 0.958 -2.404
-1.172 -2.626 -0.404
-4.921 1.678 3.368
P Co Pt
2 1 1
Direct
0.000 0.000 0.967
0.000 0.000 0.533
0.500 0.500 0.750
0.500 0.500 0.250
```

Entry 4:
Here is crystalline Tb5Pm3In at its relaxed geometry from Alexandria. Energies are from GGA-PBE.

The symmetry is No. 140. For the energy of formation, the calculation gives 0.169 eV/atom. The value obtained for the magnetic moment is 0.0 μB/f.u.

POSCAR file:
```
Tb5Pm3In
1.0
-8.093 -3.315 -3.094
-2.913 -1.048 8.745
2.916 8.586 -2.920
Tb Pm In
10 6 2
Direct
0.828 0.942 0.270
0.442 0.328 0.270
0.000 0.000 0.000
0.500 0.500 0.000
0.058 0.558 0.730
0.328 0.828 0.270
0.942 0.442 0.270
0.672 0.172 0.730
0.172 0.058 0.730
0.558 0.672 0.730
0.385 0.885 0.000
0.250 0.250 0.500
0.885 0.615 0.000
0.115 0.385 0.000
0.750 0.750 0.500
0.615 0.115 0.000
0.750 0.250 0.500
0.250 0.750 0.500
```

Entry 5:
Here is crystalline RbTi3Ge at its relaxed geometry from Alexandria. Energies are from GGA-PBE.

The symmetry is No. 221. For the energy of formation, the calculation gives 0.866 eV/atom. The value obtained for the magnetic moment is 6.9 μB/f.u. The calculation puts the offset from the most stable computed form at 0.0000 eV/atom.

POSCAR file:
```
RbTi3Ge
1.0
-3.012 3.470 -2.260
-3.102 -3.742 -1.612
-2.744 0.420 4.303
Ge Ti Rb
1 3 1
Direct
0.000 0.000 0.000
0.500 0.000 0.000
0.000 0.000 0.500
0.000 0.500 0.000
0.500 0.500 0.500
```

Entry 6:
Here is crystalline Dy3Ho2Mg at its relaxed geometry from Alexandria. Energies are from GGA-PBE.

The symmetry is No. 15. For the energy of formation, the calculation gives 0.008 eV/atom. The value obtained for the magnetic moment is 0.0 μB/f.u. The calculation puts the offset from the most stable computed form at 0.0000 eV/atom.

POSCAR file:
```
Dy3Ho2Mg
1.0
-4.832 6.404 -5.488
-4.533 -4.428 -1.255
-0.891 3.804 5.145
Dy Ho Mg
6 4 2
Direct
0.608 0.693 0.996
0.250 0.878 0.122
0.750 0.122 0.878
0.392 0.307 0.004
0.108 0.996 0.693
0.892 0.004 0.307
0.440 0.774 0.546
0.940 0.546 0.774
0.560 0.226 0.454
0.060 0.454 0.226
0.250 0.400 0.600
0.750 0.600 0.400
```

Entry 7:
Here is crystalline Ca2NiRu at its relaxed geometry from Alexandria. Energies are from GGA-PBE.

The symmetry is No. 8. For the energy of formation, the calculation gives 0.191 eV/atom. The value obtained for the magnetic moment is 0.9 μB/f.u.

POSCAR file:
```
Ca2NiRu
1.0
-1.919 -5.553 -0.904
1.243 -5.365 -2.236
1.559 -3.102 3.262
Ni Ru Ca
1 1 2
Direct
0.541 0.541 0.462
0.206 0.206 0.292
0.768 0.768 0.730
0.985 0.985 0.016
```

Entry 8:
Here is crystalline CeY2Er at its relaxed geometry from Alexandria. Energies are from GGA-PBE.

The symmetry is No. 166. For the energy of formation, the calculation gives 0.183 eV/atom. The value obtained for the magnetic moment is 0.7 μB/f.u. The calculation puts the offset from the most stable computed form at 0.1200 eV/atom.

POSCAR file:
```
CeY2Er
1.0
3.413 0.000 0.000
1.707 2.956 0.000
1.707 0.985 12.318
Ce Y Er
1 2 1
Direct
0.000 0.000 0.000
0.089 0.089 0.733
0.911 0.911 0.267
0.500 0.500 0.500
```

Entry 9:
Here is crystalline La5Ge2H2 at its relaxed geometry from Alexandria. Energies are from GGA-PBE.

The calculation puts the total energy at -5.08 eV per atom. The symmetry is No. 46. The value obtained for the magnetic moment is 0.0 μB/f.u.

POSCAR file:
```
La5Ge2H2
1.0
-1.622 6.526 0.835
-4.620 -1.700 4.317
10.051 -1.676 5.131
La Ge H
10 4 4
Direct
0.813 0.817 0.696
0.187 0.121 0.304
0.239 0.204 0.981
0.757 0.723 0.019
0.761 0.223 0.019
0.243 0.704 0.981
0.815 0.222 0.500
0.617 0.621 0.304
0.185 0.722 0.500
0.383 0.317 0.696
0.128 0.572 0.210
0.583 0.072 0.210
0.872 0.362 0.790
0.417 0.862 0.790
0.000 0.962 0.000
0.146 0.354 0.500
0.500 0.462 0.000
0.854 0.854 0.500
```

Entry 10:
Here is crystalline Mg3As2O8 at its relaxed geometry from Alexandria. Energies are from GGA-PBE.

The uncorrected formation energy comes out at -2017 meV/atom. The symmetry is No. 14. The value obtained for the magnetic moment is 0.0 μB/f.u.

POSCAR file:
```
Mg3As2O8
1.0
-2.489 -4.945 -3.655
6.741 0.971 -5.905
6.307 -6.836 6.075
Mg As O
12 8 32
Direct
0.385 0.032 0.121
0.615 0.532 0.379
0.917 0.711 0.923
0.615 0.968 0.879
0.241 0.852 0.634
0.083 0.211 0.577
0.917 0.789 0.423
0.241 0.648 0.134
0.083 0.289 0.077
0.759 0.148 0.366
0.385 0.468 0.621
0.759 0.352 0.866
0.896 0.942 0.145
0.414 0.623 0.859
0.896 0.558 0.645
0.104 0.058 0.855
0.414 0.877 0.359
0.104 0.442 0.355
0.586 0.377 0.141
0.586 0.123 0.641
0.126 0.454 0.201
0.670 0.333 0.286
0.126 0.046 0.701
0.326 0.500 0.427
0.957 0.764 0.104
0.395 0.241 0.592
0.874 0.954 0.299
0.043 0.264 0.396
0.480 0.442 0.837
0.922 0.927 0.880
0.674 0.000 0.073
0.674 0.500 0.573
0.330 0.667 0.714
0.784 0.139 0.546
0.784 0.361 0.046
0.216 0.861 0.454
0.670 0.167 0.786
0.078 0.427 0.620
0.874 0.546 0.799
0.326 0.000 0.927
0.395 0.259 0.092
0.043 0.236 0.896
0.480 0.058 0.337
0.520 0.558 0.163
0.922 0.573 0.380
0.520 0.942 0.663
0.216 0.639 0.954
0.957 0.736 0.604
0.078 0.073 0.120
0.605 0.759 0.408
0.330 0.833 0.214
0.605 0.741 0.908
```

Entry 11:
Here is crystalline PmTlPdPb at its relaxed geometry from Alexandria. Energies are from GGA-PBE.

The symmetry is No. 216. For the energy of formation, the calculation gives -0.377 eV/atom. The value obtained for the magnetic moment is 0.0 μB/f.u.

POSCAR file:
```
PmTlPdPb
1.0
-1.059 2.664 -4.338
2.212 -1.374 -4.500
-2.870 -2.174 -3.750
Pm Pd Tl Pb
1 1 1 1
Direct
0.750 0.750 0.750
0.000 0.000 0.000
0.500 0.500 0.500
0.250 0.250 0.250
```

Entry 12:
Here is crystalline TaTe4Mo at its relaxed geometry from Alexandria. Energies are from GGA-PBE.

The uncorrected formation energy comes out at -224 meV/atom. The symmetry is No. 8. The value obtained for the magnetic moment is 0.0 μB/f.u. The calculation puts the offset from the most stable computed form at 0.0000 eV/atom.

POSCAR file:
```
TaTe4Mo
1.0
3.605 -0.002 -0.001
-1.798 7.433 -1.133
0.001 0.082 6.238
Ta Te Mo
1 4 1
Direct
0.500 0.000 0.499
0.875 0.750 0.628
0.125 0.250 0.372
0.622 0.245 0.878
0.377 0.755 0.122
0.000 0.000 0.001
```